A relaxed structure of LiCaV2, computed with PBE-GGA.

POSCAR file:
```
LiCaV2
1.0
4.141 0.000 0.000
0.000 4.141 0.000
2.070 2.070 10.297
V Li Ca
4 2 2
Cartesian
5.176 4.077 7.723
2.134 3.106 2.574
3.106 4.205 7.723
2.006 1.035 2.574
2.070 4.141 5.148
2.070 2.070 0.000
0.000 0.000 0.000
4.141 2.070 5.148
```

Values from the calculation:
Crystal system ... tetragonal
Space group ... I-42d
Final energy ... -4.56 eV per atom
V ... 177 Å³/cell
Fermi-level density of states ... 11.30 states/eV per cell



A relaxed structure of LiCaV, computed with PBE-GGA.

POSCAR file:
```
LiCaV
1.0
7.935 0.000 0.101
3.984 3.074 -2.887
-3.984 3.074 2.887
Ca Li V
2 2 2
Cartesian
7.649 3.074 -1.139
1.645 3.074 1.712
4.389 3.074 -2.476
4.397 3.074 0.116
-1.468 2.149 1.687
-1.468 3.998 1.687
```

Values from the calculation:
Crystal system ... monoclinic
Space group ... Cm
Final energy ... -3.89 eV per atom
V ... 143 Å³/cell
Fermi-level density of states ... 5.00 states/eV per cell



| no. | calculated formation energy (eV/atom) |
| --- | --- |
| 1 | 0.98 |
| 2 | 0.45 |